(1)
YGaAu3 PBE-GGA optimized geometry; size of the total moment = 0.0 Bohr magnetons per cell; V = 33.00 A^3/atom
1.0
-5.1519 -0.0390 1.8809
0.6909 -5.1395 1.7859
1.7498 1.9145 4.8326
Y Au Ga
1 3 1
direct
0.0000 0.0000 0.0000
0.0000 0.5000 0.0000
0.0000 0.0000 0.5000
0.5000 0.0000 0.0000
0.5000 0.5000 0.5000



(2)
YGaAu3 PBE-GGA optimized geometry; size of the total moment = 0.0 Bohr magnetons per cell; V = 22.88 A^3/atom
1.0
-3.8146 2.8167 -1.0401
-2.7890 -2.7009 2.9144
1.1123 2.8876 3.7405
Y Au Ga
1 3 1
direct
0.5000 0.5000 0.5000
0.0000 0.5000 0.0000
0.0000 0.0000 0.5000
0.5000 0.0000 0.0000
0.0000 0.0000 0.0000



Here are the energies relative to the best structure, in meV/atom: (1) 580; (2) 0.



(1)
Y2Ga3Au2 PBE-GGA optimized geometry; size of the total moment = 0.0 Bohr magnetons per cell; V = 20.74 A^3/atom
1.0
-1.7170 -1.8986 3.3914
5.9309 -4.1698 0.6684
4.7639 7.3999 3.8927
Y Ga Au
4 6 4
direct
0.1560 0.2500 0.3120
0.8440 0.7500 0.6880
0.9437 0.2500 0.8874
0.0563 0.7500 0.1126
0.2267 0.7500 0.4534
0.7733 0.2500 0.5466
0.5564 0.4209 0.1128
0.4436 0.5791 0.8872
0.4436 0.9209 0.8872
0.5564 0.0791 0.1128
0.6841 0.9485 0.3682
0.3159 0.0515 0.6318
0.3159 0.4485 0.6318
0.6841 0.5515 0.3682



(2)
Y2Ga3Au2 PBE-GGA optimized geometry; size of the total moment = 0.0 Bohr magnetons per cell; V = 20.40 A^3/atom
1.0
4.3759 0.0000 0.0000
-2.1879 5.3011 0.0666
0.0000 -2.7342 6.1219
Y Ga Au
2 3 2
direct
0.8531 0.7061 0.2230
0.1469 0.2939 0.7770
0.5000 0.0000 0.0000
0.5956 0.1911 0.4284
0.4044 0.8089 0.5716
0.8445 0.6891 0.7551
0.1555 0.3109 0.2449



Here are the energies relative to the best structure, in meV/atom: (1) 6; (2) 0.



(1)
YGaAu4 PBE-GGA optimized geometry; size of the total moment = 0.0 Bohr magnetons per cell; V = 20.03 A^3/atom
1.0
-2.3040 3.1078 3.5053
1.3250 -3.3602 3.7837
7.5683 5.3587 -2.5823
Y Ga Au
2 2 8
direct
0.7501 0.7498 0.0000
0.2499 0.2502 0.0000
0.5000 0.0000 0.5000
0.0000 0.5000 0.5000
0.6856 0.1326 0.8202
0.8140 0.3669 0.1798
0.3144 0.8674 0.1798
0.1860 0.6331 0.8202
0.1181 0.0354 0.6551
0.3815 0.4650 0.3450
0.8819 0.9646 0.3449
0.6185 0.5350 0.6550



(2)
YGaAu4 PBE-GGA optimized geometry; size of the total moment = 0.0 Bohr magnetons per cell; V = 20.49 A^3/atom
1.0
5.5812 0.0000 0.0000
2.7906 4.8335 0.0000
2.7906 1.6112 4.5571
Y Au Ga
1 4 1
direct
0.2500 0.2500 0.2500
0.6251 0.6251 0.1246
0.6251 0.1246 0.6251
0.6251 0.6251 0.6251
0.1246 0.6251 0.6251
0.0000 0.0000 0.0000



Here are the energies relative to the best structure, in meV/atom: (1) 0; (2) 94.



(1)
Y3Ga4Au4 PBE-GGA optimized geometry; size of the total moment = 0.0 Bohr magnetons per cell; V = 20.60 A^3/atom
1.0
4.5756 0.0000 0.0000
0.0000 3.6253 0.0000
-2.2878 -1.8126 13.6604
Y Ga Au
3 4 4
direct
0.3576 0.8576 0.7153
0.6424 0.1424 0.2847
0.0000 0.0000 0.0000
0.8119 0.3119 0.6238
0.4531 0.4531 0.9062
0.5469 0.5469 0.0938
0.1881 0.6881 0.3762
0.2654 0.2654 0.5308
0.0932 0.5932 0.1863
0.9068 0.4068 0.8137
0.7346 0.7346 0.4692



(2)
Y3Ga4Au4 PBE-GGA optimized geometry; size of the total moment = 0.0 Bohr magnetons per cell; V = 20.73 A^3/atom
1.0
3.5851 -0.0013 0.4065
-0.0787 4.4402 0.6965
0.2030 0.0164 14.3503
Y Ga Au
3 4 4
direct
0.1419 0.6430 0.7153
0.8582 0.3570 0.2847
0.0000 0.0000 0.0000
0.5933 0.0950 0.8108
0.2593 0.2590 0.4815
0.7407 0.7410 0.5185
0.4067 0.9050 0.1892
0.5505 0.5499 0.9011
0.4495 0.4501 0.0990
0.3133 0.8125 0.3737
0.6868 0.1875 0.6263



Here are the energies relative to the best structure, in meV/atom: (1) 9; (2) 0.



(1)
YGaAu6 PBE-GGA optimized geometry; size of the total moment = 0.0 Bohr magnetons per cell; V = 19.02 A^3/atom
1.0
4.2087 0.0001 1.1486
1.8847 4.6826 1.3798
0.1292 0.2791 7.8077
Y Ga Au
1 1 6
direct
0.0000 0.5000 0.5000
0.0000 0.0000 0.0000
0.2577 0.8512 0.6334
0.5155 0.2023 0.7667
0.2261 0.4259 0.1220
0.4845 0.7977 0.2333
0.7423 0.1488 0.3666
0.7739 0.5741 0.8780



(2)
YGaAu6 PBE-GGA optimized geometry; size of the total moment = 0.0 Bohr magnetons per cell; V = 22.08 A^3/atom
1.0
-5.1526 -1.5257 1.6206
2.1815 -1.6969 4.8852
-0.7669 5.1900 1.9948
Y Ga Au
1 1 6
direct
0.0000 0.0000 0.0000
0.5000 0.5000 0.5000
0.1728 0.5360 0.1728
0.1728 0.1728 0.5360
0.8272 0.4640 0.8272
0.4640 0.8272 0.8272
0.8272 0.8272 0.4640
0.5360 0.1728 0.1728



Here are the energies relative to the best structure, in meV/atom: (1) 0; (2) 151.



(1)
Y2Ga3Au5 PBE-GGA optimized geometry; size of the total moment = 0.0 Bohr magnetons per cell; V = 19.82 A^3/atom
1.0
4.4327 0.0000 -0.7551
0.0000 7.1263 0.0000
-0.1389 0.0000 12.5733
Y Ga Au
4 6 10
direct
0.4818 0.7474 0.9636
0.1753 0.7390 0.3506
0.8247 0.2390 0.6494
0.5182 0.2474 0.0364
0.7733 0.7127 0.5467
0.6035 0.5619 0.2070
0.0510 0.9396 0.1021
0.2267 0.2127 0.4533
0.9490 0.4396 0.8979
0.3965 0.0619 0.7930
0.3953 0.4403 0.7906
0.2847 0.5136 0.5695
0.7153 0.0136 0.4305
0.1194 0.2322 0.2389
0.3001 0.9252 0.6003
0.9502 0.0528 0.9003
0.6999 0.4252 0.3997
0.8806 0.7322 0.7611
0.0498 0.5528 0.0997
0.6047 0.9403 0.2094



(2)
Y2Ga3Au5 PBE-GGA optimized geometry; size of the total moment = 0.0 Bohr magnetons per cell; V = 20.40 A^3/atom
1.0
6.0150 0.0000 0.0000
3.0075 8.2178 -0.5478
3.0075 0.7263 8.2039
Y Ga Au
4 6 10
direct
0.1331 0.5923 0.1416
0.6331 0.1416 0.5923
0.8669 0.4077 0.8584
0.3669 0.8584 0.4077
0.3665 0.5074 0.7595
0.8665 0.7595 0.5074
0.6335 0.4926 0.2405
0.1335 0.2405 0.4926
0.2500 0.0000 0.0000
0.7500 0.0000 0.0000
0.3991 0.2611 0.9406
0.8991 0.9406 0.2611
0.6009 0.7389 0.0594
0.1009 0.0594 0.7389
0.4864 0.7636 0.7636
0.5136 0.2364 0.2364
0.7500 0.5000 0.5000
0.2500 0.5000 0.5000
0.0136 0.2364 0.2364
0.9864 0.7636 0.7636



Here are the energies relative to the best structure, in meV/atom: (1) 0; (2) 26.